{"formula": "PaFeCoSi", "functional": "PBE", "state": "relaxed", "e_tot_ev_per_atom": -7.9958, "formation_energy_uncorrected_mev_per_atom": -373.9, "m_tot_mub_per_cell": 0.00, "spacegroup": "No. 38", "cell": [[4.1036, 0.0000, 0.0000], [0.0000, 3.8670, 0.0000], [0.0000, 0.0000, 8.0596]], "species": ["Pa", "Pa", "Fe", "Fe", "Co", "Co", "Si", "Si"], "frac_coords": [[0.0000, 0.0000, 0.0000], [0.0000, 0.5000, 0.5000], [0.0000, 0.0000, 0.2658], [0.0000, 0.5000, 0.7658], [0.5000, 0.0000, 0.7267], [0.5000, 0.5000, 0.2267], [0.5000, 0.0000, 0.3938], [0.5000, 0.5000, 0.8938]]}

{"formula": "Th3SnSb2", "functional": "PBE", "state": "relaxed", "e_tot_ev_per_atom": -6.5296, "e_above_lowest_polymorph_mev_per_atom": 3.1, "formation_energy_uncorrected_mev_per_atom": -778.5, "m_tot_mub_per_cell": 0.00, "spacegroup": "No. 15", "cell": [[3.9133, -6.7657, 0.0000], [3.9133, 6.7657, 0.0000], [-2.6081, 0.0000, 7.3869]], "species": ["Th", "Th", "Th", "Th", "Th", "Th", "Sn", "Sn", "Sb", "Sb", "Sb", "Sb"], "frac_coords": [[0.0000, 0.5000, 0.0000], [0.1647, 0.3300, 0.4994], [0.3300, 0.1647, 0.9994], [0.5000, 0.0000, 0.5000], [0.6700, 0.8353, 0.0006], [0.8353, 0.6700, 0.5006], [0.0843, 0.9157, 0.2500], [0.9157, 0.0843, 0.7500], [0.2510, 0.7490, 0.7500], [0.4169, 0.5831, 0.2500], [0.5831, 0.4169, 0.7500], [0.7490, 0.2510, 0.2500]]}

{"formula": "HfTeS2N", "functional": "PBE", "state": "relaxed", "e_tot_ev_per_atom": -5.9804, "e_above_lowest_polymorph_mev_per_atom": 0.0, "formation_energy_uncorrected_mev_per_atom": -45.3, "m_tot_mub_per_cell": 0.00, "spacegroup": "No. 123", "cell": [[5.0771, 0.0000, 0.0000], [0.0000, 5.0771, 0.0000], [0.0000, 0.0000, 4.0047]], "species": ["Hf", "Te", "S", "S", "N"], "frac_coords": [[0.0000, 0.0000, 0.0000], [0.5000, 0.5000, 0.5000], [0.0000, 0.5000, 0.0000], [0.5000, 0.0000, 0.0000], [0.0000, 0.0000, 0.5000]]}

{"formula": "Hg3HAu", "functional": "PBE", "state": "relaxed", "e_tot_ev_per_atom": -1.0356, "e_above_lowest_polymorph_mev_per_atom": 382.0, "m_tot_mub_per_cell": 0.94, "spacegroup": "No. 221", "cell": [[5.4703, 0.0000, 0.0000], [0.0000, 5.4703, 0.0000], [0.0000, 0.0000, 5.4703]], "species": ["Hg", "Hg", "Hg", "H", "Au"], "frac_coords": [[0.0000, 0.0000, 0.5000], [0.0000, 0.5000, 0.0000], [0.5000, 0.0000, 0.0000], [0.5000, 0.5000, 0.5000], [0.0000, 0.0000, 0.0000]]}